# 1
# CsSnAuBr2, optimized geometry, DFT PBE
data_CsSnAuBr2
_cell_length_a 5.965
_cell_length_b 5.965
_cell_length_c 5.277
_cell_angle_alpha 90.00
_cell_angle_beta 90.00
_cell_angle_gamma 90.00
_symmetry_space_group_name_H-M 'P 4/m m m'
_symmetry_Int_Tables_number 123
_symmetry_space_group_name_Hall '-P 4 2'
loop_
_atom_site_label
_atom_site_fract_x
_atom_site_fract_y
_atom_site_fract_z
_atom_site_occupancy
Cs1 0.000 0.000 0.000 1
Sn1 0.500 0.500 0.500 1
Au1 0.500 0.500 0.000 1
Br1 0.000 0.500 0.500 1
# raw formation energy = -4.31 eV/f.u.


# 2
# Sr2InTeRh, optimized geometry, DFT PBE
data_Sr2InTeRh
_cell_length_a 5.720
_cell_length_b 5.720
_cell_length_c 5.107
_cell_angle_alpha 90.00
_cell_angle_beta 90.00
_cell_angle_gamma 90.00
_symmetry_space_group_name_H-M 'P 4/m m m'
_symmetry_Int_Tables_number 123
_symmetry_space_group_name_Hall '-P 4 2'
loop_
_atom_site_label
_atom_site_fract_x
_atom_site_fract_y
_atom_site_fract_z
_atom_site_occupancy
Sr1 0.000 0.500 0.000 1
In1 0.000 0.000 0.500 1
Te1 0.500 0.500 0.500 1
Rh1 0.000 0.000 0.000 1
# raw formation energy = -3.45 eV/f.u.


# 3
# DyErAl6, optimized geometry, DFT PBE
data_DyErAl6
_cell_length_a 6.1503
_cell_length_b 6.1503
_cell_length_c 4.7320
_cell_angle_alpha 90.00
_cell_angle_beta 90.00
_cell_angle_gamma 120.00
_symmetry_space_group_name_H-M 'P -6 m 2'
_symmetry_Int_Tables_number 187
_symmetry_space_group_name_Hall 'P -6 2'
loop_
_atom_site_label
_atom_site_fract_x
_atom_site_fract_y
_atom_site_fract_z
_atom_site_occupancy
Dy1 0.0000 0.0000 0.0000 1
Er1 0.6667 0.3333 0.5000 1
Al1 0.0346 0.5173 0.0000 1
Al2 0.1845 0.3690 0.5000 1
# formation energy = -0.42 eV/atom
# energy above the most stable polymorph in this dataset = 0.000 eV/atom


# 4
# Al2Sn2Pb, optimized geometry, DFT PBE
data_Al2Sn2Pb
_cell_length_a 4.765
_cell_length_b 4.765
_cell_length_c 11.559
_cell_angle_alpha 90.00
_cell_angle_beta 90.00
_cell_angle_gamma 90.00
_symmetry_space_group_name_H-M 'I 4/m m m'
_symmetry_Int_Tables_number 139
_symmetry_space_group_name_Hall '-I 4 2'
loop_
_atom_site_label
_atom_site_fract_x
_atom_site_fract_y
_atom_site_fract_z
_atom_site_occupancy
Al1 0.000 0.000 0.110 1
Sn1 0.000 0.500 0.250 1
Pb1 0.000 0.000 0.500 1
# formation energy = 0.18 eV/atom
# energy above the most stable polymorph in this dataset = 0.046 eV/atom


# 5
# Na6Tl, optimized geometry, DFT PBE
data_Na6Tl
_cell_length_a 5.7039
_cell_length_b 5.7039
_cell_length_c 24.6018
_cell_angle_alpha 90.00
_cell_angle_beta 90.00
_cell_angle_gamma 120.00
_symmetry_space_group_name_H-M 'R -3 m'
_symmetry_Int_Tables_number 166
_symmetry_space_group_name_Hall '-R 3 2"'
loop_
_atom_site_label
_atom_site_fract_x
_atom_site_fract_y
_atom_site_fract_z
_atom_site_occupancy
Na1 0.0000 0.0000 0.0754 1
Na2 0.0000 0.0000 0.2109 1
Na3 0.0000 0.0000 0.3629 1
Tl1 0.0000 0.0000 0.5000 1
# formation energy = -0.04 eV/atom
# energy above the most stable polymorph in this dataset = 0.000 eV/atom


# 6
# Pm2NbAg, optimized geometry, DFT PBE
data_Pm2NbAg
_cell_length_a 3.1972
_cell_length_b 3.1972
_cell_length_c 34.1455
_cell_angle_alpha 90.00
_cell_angle_beta 90.00
_cell_angle_gamma 120.00
_symmetry_space_group_name_H-M 'R -3 m'
_symmetry_Int_Tables_number 166
_symmetry_space_group_name_Hall '-R 3 2"'
loop_
_atom_site_label
_atom_site_fract_x
_atom_site_fract_y
_atom_site_fract_z
_atom_site_occupancy
Pm1 0.0000 0.0000 0.0876 1
Nb1 0.0000 0.0000 0.0000 1
Ag1 0.0000 0.0000 0.5000 1
# formation energy = 0.53 eV/atom


# 7
# Li2CuW, optimized geometry, DFT PBE
data_Li2CuW
_cell_length_a 2.536
_cell_length_b 4.047
_cell_length_c 5.629
_cell_angle_alpha 90.00
_cell_angle_beta 90.00
_cell_angle_gamma 90.00
_symmetry_space_group_name_H-M 'P m m 2'
_symmetry_Int_Tables_number 25
loop_
_symmetry_equiv_pos_as_xyz
'x,y,z'
'-x,-y,z'
'-x,y,z'
'x,-y,z'
loop_
_atom_site_label
_atom_site_fract_x
_atom_site_fract_y
_atom_site_fract_z
_atom_site_occupancy
Li1 0.000 0.000 0.000 1
Li2 0.500 0.500 0.230 1
Cu1 0.500 0.500 0.720 1
W1 0.000 0.000 0.520 1
# formation energy = 0.36 eV/atom
# energy above the most stable polymorph in this dataset = 0.099 eV/atom


# 8
# KRbNa2S, optimized geometry, DFT PBE
data_KRbNa2S
_cell_length_a 5.747
_cell_length_b 5.747
_cell_length_c 6.323
_cell_angle_alpha 90.00
_cell_angle_beta 90.00
_cell_angle_gamma 90.00
_symmetry_space_group_name_H-M 'P 4/m m m'
_symmetry_Int_Tables_number 123
_symmetry_space_group_name_Hall '-P 4 2'
loop_
_atom_site_label
_atom_site_fract_x
_atom_site_fract_y
_atom_site_fract_z
_atom_site_occupancy
K1 0.000 0.000 0.000 1
Rb1 0.500 0.500 0.000 1
Na1 0.000 0.500 0.500 1
S1 0.000 0.000 0.500 1
# raw formation energy = -2.26 eV/f.u.


What is the formula in the eighth record? KRbNa2S